! MoP2PdO | Alexandria via LeMat-Bulk | GGA+U | optimized geometry; values from VASP
&SYSTEM
  ibrav = 0, nat = 5, ntyp = 4
/
ATOMIC_SPECIES
Mo 95.94 Mo.upf
P 30.97 P.upf
Pd 106.42 Pd.upf
O 16.00 O.upf
CELL_PARAMETERS angstrom
4.7965 0.0000 0.0000
0.0000 4.7965 0.0000
0.0000 0.0000 3.7459
ATOMIC_POSITIONS crystal
Mo 0.0000 0.0000 0.0000
P 0.0000 0.5000 0.0000
P 0.5000 0.0000 0.0000
Pd 0.5000 0.5000 0.5000
O 0.0000 0.0000 0.5000
! Density of states at the Fermi level ... 2.1 states/eV/f.u.
! Total magnetization ... 0.00 Bohr magnetons per cell
! E_tot ... -5.40 eV/atom
! Space group ... P4/mmm (123)